# 1
Nd2YHgO: relaxed, PBE.

Cell: 4.7810 4.9693 4.9693 Å, 90.00 90.00 90.00°
With the nearest neighbours (Å) after each atom.
Fractional coordinates of all 5 atoms:
1 Nd 0.0000 0.0000 0.5000  2 O 2.48
2 Nd 0.0000 0.5000 0.0000  2 O 2.48
3 Y 0.5000 0.0000 0.0000  2 O 2.39
4 Hg 0.5000 0.5000 0.5000  8 Nd 3.45, 4 Y 3.51
5 O 0.0000 0.0000 0.0000  2 Y 2.39, 4 Nd 2.48

Summary:
The raw total energy comes out at -5.60 eV/atom. The value obtained for the density of states at the Fermi level is 2.7 states/eV per cell. The total moment is 0.000 μB per formula unit.

# 2
Nd2ZnHgO5: relaxed, PBE.

Cell: 5.7770 6.8168 6.8168 Å, 90.00 90.00 90.00°
With the nearest neighbours (Å) after each atom.
Fractional coordinates of all 18 atoms:
1 Nd 0.5000 0.6729 0.1729  8 O 2.33-2.58
2 Nd 0.5000 0.1729 0.3271  8 O 2.33-2.58
3 Nd 0.5000 0.8271 0.6729  8 O 2.33-2.58
4 Nd 0.5000 0.3271 0.8271  8 O 2.33-2.58
5 Zn 0.0000 0.0000 0.5000  4 O 1.96
6 Zn 0.0000 0.5000 0.0000  4 O 1.96
7 Hg 0.0000 0.5000 0.5000  10 O 2.89-3.01
8 Hg 0.0000 0.0000 0.0000  10 O 2.89-3.01
9 O 0.5000 0.5000 0.5000  4 Nd 2.52
10 O 0.5000 0.0000 0.0000  4 Nd 2.52
11 O 0.2502 0.1379 0.6379  1 Zn 1.96
12 O 0.2502 0.8621 0.3621  1 Zn 1.96
13 O 0.2502 0.3621 0.1379  1 Zn 1.96
14 O 0.2502 0.6379 0.8621  1 Zn 1.96
15 O 0.7498 0.1379 0.6379  1 Zn 1.96
16 O 0.7498 0.6379 0.8621  1 Zn 1.96
17 O 0.7498 0.8621 0.3621  1 Zn 1.96
18 O 0.7498 0.3621 0.1379  1 Zn 1.96

Summary:
The raw total energy comes out at -5.96 eV/atom. The value obtained for the density of states at the Fermi level is 10.2 states/eV per cell. The total moment is 0.000 μB per formula unit.

# 3
Nd5Hg2Os: relaxed, PBE.

Cell: 4.8381 7.9818 12.2227 Å, 90.00 90.00 90.00°
With the nearest neighbours (Å) after each atom.
Fractional coordinates of all 16 atoms:
1 Nd 0.0000 0.0000 0.5000  4 Hg 3.22
2 Nd 0.0000 0.5000 0.0000  4 Hg 3.22
3 Nd 0.0000 0.8524 0.2026  1 Os 2.74
4 Nd 0.0000 0.1476 0.7974  1 Os 2.74
5 Nd 0.0000 0.6476 0.7026  1 Os 2.74
6 Nd 0.0000 0.3524 0.2974  1 Os 2.74
7 Nd 0.5000 0.6807 0.4257  2 Os 2.96, 1 Hg 3.28
8 Nd 0.5000 0.3193 0.5743  2 Os 2.96, 1 Hg 3.28
9 Nd 0.5000 0.8193 0.9257  2 Os 2.96, 1 Hg 3.28
10 Nd 0.5000 0.1807 0.0743  2 Os 2.96, 1 Hg 3.28
11 Hg 0.5000 0.5712 0.1670  9 Nd 3.22-3.55
12 Hg 0.5000 0.4288 0.8330  9 Nd 3.22-3.55
13 Hg 0.5000 0.9288 0.6670  9 Nd 3.22-3.55
14 Hg 0.5000 0.0712 0.3330  9 Nd 3.22-3.55
15 Os 0.0000 0.5000 0.5000  6 Nd 2.74-2.96
16 Os 0.0000 0.0000 0.0000  6 Nd 2.74-2.96

Summary:
The raw total energy comes out at -4.75 eV/atom. The formation energy from the elements comes out at -291 meV per atom. The value obtained for the density of states at the Fermi level is 19.4 states/eV per cell. The total moment is 0.000 μB per formula unit.

# 4
Nd12Hg6Os: relaxed, PBE.

Cell: 8.4864 8.4864 8.4864 Å, 94.01 94.01 94.01°
With the nearest neighbours (Å) after each atom.
Fractional coordinates of all 19 atoms:
1 Nd 0.8009 0.5720 0.4585  4 Hg 3.16-3.36
2 Nd 0.4585 0.8009 0.5720  4 Hg 3.16-3.36
3 Nd 0.5720 0.4585 0.8009  4 Hg 3.16-3.36
4 Nd 0.1991 0.4280 0.5415  4 Hg 3.16-3.36
5 Nd 0.5415 0.1991 0.4280  4 Hg 3.16-3.36
6 Nd 0.4280 0.5415 0.1991  4 Hg 3.16-3.36
7 Nd 0.9700 0.0848 0.3170  1 Os 2.77
8 Nd 0.9152 0.6830 0.0300  1 Os 2.77
9 Nd 0.6830 0.0300 0.9152  1 Os 2.77
10 Nd 0.0300 0.9152 0.6830  1 Os 2.77
11 Nd 0.0848 0.3170 0.9700  1 Os 2.77
12 Nd 0.3170 0.9700 0.0848  1 Os 2.77
13 Hg 0.6531 0.8560 0.2638  8 Nd 3.16-3.42
14 Hg 0.7362 0.3469 0.1440  8 Nd 3.16-3.42
15 Hg 0.1440 0.7362 0.3469  8 Nd 3.16-3.42
16 Hg 0.3469 0.1440 0.7362  8 Nd 3.16-3.42
17 Hg 0.2638 0.6531 0.8560  8 Nd 3.16-3.42
18 Hg 0.8560 0.2638 0.6531  8 Nd 3.16-3.42
19 Os 0.0000 0.0000 0.0000  6 Nd 2.77

Summary:
The raw total energy comes out at -3.91 eV/atom. The formation energy from the elements comes out at -212 meV per atom. The value obtained for the density of states at the Fermi level is 24.8 states/eV per cell. The total moment is 0.000 μB per formula unit.

# 5
Nd6Hg2Os: relaxed, PBE.

Cell: 8.8545 8.8545 8.8545 Å, 72.66 71.09 112.20°
With the nearest neighbours (Å) after each atom.
Fractional coordinates of all 18 atoms:
1 Nd 0.1650 0.7559 0.0791  1 Os 3.07, 1 Hg 3.22, 1 Nd 3.40
2 Nd 0.8350 0.2441 0.9209  1 Os 3.07, 1 Hg 3.22, 1 Nd 3.40
3 Nd 0.1650 0.2441 0.5909  1 Os 3.07, 1 Hg 3.22, 1 Nd 3.40
4 Nd 0.8350 0.7559 0.4091  1 Os 3.07, 1 Hg 3.22, 1 Nd 3.40
5 Nd 0.4518 0.2706 0.8188  2 Os 2.93-3.26, 1 Hg 3.21
6 Nd 0.5482 0.7294 0.1812  2 Os 2.93-3.26, 1 Hg 3.21
7 Nd 0.0894 0.2706 0.1812  2 Os 2.93-3.26, 1 Hg 3.21
8 Nd 0.9106 0.7294 0.8188  2 Os 2.93-3.26, 1 Hg 3.21
9 Nd 0.3346 0.0672 0.2674  3 Hg 3.08-3.30, 1 Os 3.25, 3 Nd 3.27-3.43
10 Nd 0.6654 0.9328 0.7325  3 Hg 3.08-3.30, 1 Os 3.25, 3 Nd 3.27-3.43
11 Nd 0.3346 0.6021 0.7325  3 Hg 3.08-3.30, 1 Os 3.25, 3 Nd 3.27-3.43
12 Nd 0.6654 0.3979 0.2674  3 Hg 3.08-3.30, 1 Os 3.25, 3 Nd 3.27-3.43
13 Hg 0.1437 0.6437 0.5000  1 Hg 2.84, 2 Nd 3.08
14 Hg 0.8563 0.3563 0.5000  1 Hg 2.84, 2 Nd 3.08
15 Hg 0.3544 0.0000 0.6456  1 Hg 3.00, 8 Nd 3.21-3.30
16 Hg 0.6456 0.0000 0.3544  1 Hg 3.00, 8 Nd 3.21-3.30
17 Os 0.5000 0.5000 0.0000  8 Nd 2.93-3.25
18 Os 0.0000 0.0000 0.0000  8 Nd 3.07-3.26

Summary:
The raw total energy comes out at -4.66 eV/atom. The formation energy from the elements comes out at -165 meV per atom. The value obtained for the density of states at the Fermi level is 15.5 states/eV per cell. The total moment is 0.000 μB per formula unit.

# 6
Nd6Hg2Os: relaxed, PBE.

Cell: 7.1744 7.6523 10.5891 Å, 90.00 90.14 90.00°
With the nearest neighbours (Å) after each atom.
Fractional coordinates of all 18 atoms:
1 Nd 0.8849 0.9876 0.2481  1 Os 2.79
2 Nd 0.8105 0.6894 0.5541  1 Os 2.80
3 Nd 0.8185 0.6913 0.9472  1 Os 2.77
4 Nd 0.6815 0.1913 0.5528  1 Os 2.77
5 Nd 0.6895 0.1894 0.9459  1 Os 2.80
6 Nd 0.6151 0.4876 0.2519  1 Os 2.79
7 Nd 0.1151 0.0124 0.7519  1 Os 2.79
8 Nd 0.1895 0.3106 0.4459  1 Os 2.80
9 Nd 0.1815 0.3087 0.0528  1 Os 2.77
10 Nd 0.3185 0.8087 0.4472  1 Os 2.77
11 Nd 0.3105 0.8106 0.0541  1 Os 2.80
12 Nd 0.3849 0.5124 0.7481  1 Os 2.79
13 Hg 0.9596 0.4043 0.7517  6 Nd 3.16-3.32
14 Hg 0.5404 0.9043 0.7483  6 Nd 3.16-3.32
15 Hg 0.4596 0.0957 0.2517  6 Nd 3.16-3.32
16 Hg 0.0404 0.5957 0.2483  6 Nd 3.16-3.32
17 Os 0.5000 0.5000 0.0000  6 Nd 2.77-2.80
18 Os 0.0000 0.0000 0.5000  6 Nd 2.77-2.80

Summary:
The raw total energy comes out at -4.69 eV/atom. The formation energy from the elements comes out at -193 meV per atom. The value obtained for the density of states at the Fermi level is 18.4 states/eV per cell. The total moment is 0.000 μB per formula unit.